Cd3In4Hg5 after structural relaxation. Source: Alexandria, functional PBE.

a b c (Å): 12.7300 6.0330 9.6010
angles (deg): 90.00 119.45 90.00
Closest atoms and distances in Å follow each position.
Space group C2/m (No. 12)
Inequivalent atoms, fractional coordinates:
1 Cd 0.0000 0.0000 0.0000  2 Hg 3.02, 2 Cd 3.17, 4 In 3.22-3.26
2 Cd 0.9995 0.0000 0.3295  4 Hg 3.02-3.11, 2 Cd 3.17-3.27, 2 In 3.17-3.19
3 In 0.2474 0.5000 0.0086  3 In 3.02-3.28, 3 Hg 3.11-3.27, 2 Cd 3.17-3.26
4 In 0.2488 0.5000 0.6683  5 Hg 3.02-3.20, 2 Cd 3.19-3.22, 1 In 3.28
5 Hg 0.0000 0.5000 0.0000  2 Cd 3.02, 2 In 3.11, 4 Hg 3.18-3.36
6 Hg 0.0038 0.5000 0.3341  2 Cd 3.02, 3 Hg 3.18-3.24, 3 In 3.19-3.27
7 Hg 0.2377 0.0000 0.6528  4 In 3.02-3.17, 2 Cd 3.09-3.11, 2 Hg 3.23-3.36

## Properties
- total DFT energy (no corrections) (hartree per atom) = -0.045
- magnetization (μB/cell) = 0.00

Cd3In6Hg after structural relaxation. Source: Alexandria, functional PBE.

a b c (Å): 8.5676 5.7470 11.3018
angles (deg): 90.00 110.70 90.00
Closest atoms and distances in Å follow each position.
Space group P2_1/m (No. 11)
Inequivalent atoms, fractional coordinates:
1 Cd 0.1096 0.2500 0.2327  8 In 3.16-3.48, 3 Cd 3.23-3.38, 1 Hg 3.32
2 Cd 0.2962 0.7500 0.3678  9 In 3.15-3.48, 1 Hg 3.28, 2 Cd 3.38
3 Cd 0.3042 0.2500 0.0345  11 In 3.19-3.47, 1 Cd 3.23
4 In 0.0958 0.7500 0.0676  7 Cd 3.21-3.47, 5 In 3.23-3.39
5 In 0.0968 0.2500 0.7300  4 Cd 3.15-3.48, 3 Hg 3.19-3.41, 5 In 3.24-3.40
6 In 0.2910 0.7500 0.8649  1 Hg 3.17, 4 Cd 3.21-3.43, 7 In 3.24-3.48
7 In 0.3017 0.2500 0.5297  4 Cd 3.17-3.40, 3 Hg 3.19-3.47, 5 In 3.25-3.41
8 In 0.4957 0.7500 0.6675  5 Cd 3.16-3.48, 1 Hg 3.20, 6 In 3.27-3.42
9 In 0.4987 0.7500 0.1669  8 In 3.23-3.48, 4 Cd 3.28-3.39
10 Hg 0.0965 0.7500 0.5681  8 In 3.17-3.47, 2 Cd 3.28-3.32, 2 Hg 3.40

## Properties
- total DFT energy (no corrections) (hartree per atom) = -0.070
- magnetization (μB/cell) = 0.00

> Which of these has the lowest total DFT energy (no corrections)?

Cd3In6Hg